# 1
# Na3Dy2GaO6

A relaxed Na3Dy2GaO6 crystal (PBE, Alexandria via LeMat-Bulk).

E_form (uncorrected)   -2411 meV per atom
SG   C2/m
Spin magnetization   0.000 μB per cell

Cell and atoms, written as POSCAR:
```
Na3Dy2GaO6
1.0
-4.672 3.162 0.945
2.777 -2.400 4.387
3.789 4.294 -1.262
Na Dy Ga O
3 2 1 6
Cartesian
3.512 0.613 3.221
-1.619 4.443 0.849
0.947 2.528 2.035
0.299 -0.550 3.242
-2.195 1.312 2.090
0.000 0.000 0.000
0.370 4.851 2.608
-0.664 1.452 3.783
1.523 0.205 1.462
2.681 3.126 3.676
2.558 3.604 0.287
-0.788 1.930 0.394
```

---

# 2
# NaPmDyGa

A relaxed NaPmDyGa crystal (PBE, Alexandria via LeMat-Bulk).

E_form   -0.130 eV per atom
SG   F-43m
Spin magnetization   0.000 μB per cell

Cell and atoms, written as POSCAR:
```
NaPmDyGa
1.0
-3.141 3.907 1.690
-4.891 -1.086 1.699
-1.168 0.418 5.143
Na Pm Ga Dy
1 1 1 1
Cartesian
-6.900 2.429 6.399
-4.600 1.619 4.266
-2.300 0.810 2.133
0.000 0.000 0.000
```

---

# 3
# NaPrDyGa

A relaxed NaPrDyGa crystal (PBE, Alexandria via LeMat-Bulk).

E_form   -0.131 eV per atom
SG   F-43m
Spin magnetization   0.000 μB per cell

Cell and atoms, written as POSCAR:
```
NaPrDyGa
1.0
5.328 0.000 0.000
2.664 4.614 0.000
2.664 1.538 4.350
Pr Na Ga Dy
1 1 1 1
Cartesian
7.992 4.614 3.263
5.328 3.076 2.175
0.000 0.000 0.000
2.664 1.538 1.088
```

---

| no. | raw total energy (eV per cell) |
| --- | --- |
| 1 | -74.86 |
| 2 | -14.22 |
| 3 | -14.25 |